The following is a DFT calculation (PBE-GGA) of a relaxed structure of SrAg3Hg.

abc: 6.3336 6.9169 6.4836
angles: 117.95 90.00 90.00
Sites, in units of the cell vectors:
Ag 0.0000 0.0000 0.2241
Ag 0.2500 0.2951 0.1475
Ag 0.7500 0.7049 0.8525
Ag 0.5000 0.0000 0.2241
Ag 0.5000 0.0000 0.7759
Ag 0.0000 0.0000 0.7759
Hg 0.2500 0.7461 0.3731
Hg 0.7500 0.2539 0.6269
Sr 0.7500 0.5091 0.2545
Sr 0.2500 0.4909 0.7455

Computed properties:
Symmetry: Cmcm (63)
E_form: -0.185 eV per atom
Crystal system: orthorhombic
Distance to the lowest polymorph of the same formula: 0.1 kJ per mole of atoms
DOS(E_F): 3.27 states/eV per cell

The following is a DFT calculation (PBE-GGA) of a relaxed structure of K2LiMo.

abc: 5.6877 3.6167 8.0031
angles: 64.12 90.00 90.00
Sites, in units of the cell vectors:
K 0.0000 0.4842 0.5085
K 0.0000 0.0158 0.9915
Mo 0.5000 0.7500 0.7500
Li 0.5000 0.2500 0.2500

Computed properties:
Symmetry: P2/m (10)
E_form: 1.210 eV per atom
Crystal system: monoclinic
Distance to the lowest polymorph of the same formula: 18.8 kJ per mole of atoms
DOS(E_F): 2.76 states/eV per cell

The following is a DFT calculation (PBE-GGA) of a relaxed structure of NaPd2Au.

abc: 4.0915 4.0691 4.0691
angles: 90.00 90.00 90.00
Sites, in units of the cell vectors:
Au 0.5000 0.0000 0.0000
Pd 0.0000 0.0000 0.5000
Pd 0.0000 0.5000 0.0000
Na 0.5000 0.5000 0.5000

Computed properties:
Symmetry: P4/mmm (123)
E_form: -0.125 eV per atom
Crystal system: tetragonal
Distance to the lowest polymorph of the same formula: 0.0 kJ per mole of atoms
DOS(E_F): 3.21 states/eV per cell

The following is a DFT calculation (PBE-GGA) of a relaxed structure of ZrSiN2F.

abc: 4.2561 4.2561 4.1161
angles: 90.00 90.00 90.00
Sites, in units of the cell vectors:
Si 0.5000 0.5000 0.5000
N 0.5000 0.0000 0.0000
N 0.0000 0.5000 0.0000
Zr 0.0000 0.0000 0.0000
F 0.0000 0.0000 0.5000

Computed properties:
Energy relative to the elements, uncorrected: -0.29 eV per atom
Symmetry: P4/mmm (123)
Crystal system: tetragonal
Distance to the lowest polymorph of the same formula: 60.1 kJ per mole of atoms
DOS(E_F): 2.59 states/eV per cell

The following is a DFT calculation (PBE-GGA) of a relaxed structure of Sr3ScF.

abc: 6.4452 6.4452 6.4452
angles: 90.00 90.00 90.00
Sites, in units of the cell vectors:
Sc 0.0000 0.0000 0.0000
F 0.5000 0.5000 0.5000
Sr 0.0000 0.5000 0.0000
Sr 0.0000 0.0000 0.5000
Sr 0.5000 0.0000 0.0000

Computed properties:
Energy relative to the elements, uncorrected: 0.21 eV per atom
Symmetry: Pm-3m (221)
Crystal system: cubic
Distance to the lowest polymorph of the same formula: 101.9 kJ per mole of atoms
DOS(E_F): 5.25 states/eV per cell

The following is a DFT calculation (PBE-GGA) of a relaxed structure of SrMn2Cd.

abc: 3.6039 3.6078 7.3911
angles: 90.00 90.00 90.00
Sites, in units of the cell vectors:
Mn 0.0000 0.0000 0.9336
Mn 0.0000 0.0000 0.5664
Sr 0.5000 0.5000 0.2500
Cd 0.5000 0.5000 0.7500

Computed properties:
Symmetry: P4/mmm (123)
E_form: 0.505 eV per atom
Crystal system: tetragonal
DOS(E_F): 4.54 states/eV per cell

The following is a DFT calculation (PBE-GGA) of a relaxed structure of ScCo2Mo.

abc: 4.4620 4.4615 2.8038
angles: 90.00 90.00 90.00
Sites, in units of the cell vectors:
Sc 0.0000 0.5000 0.5000
Mo 0.5000 0.0000 0.5000
Co 0.0000 0.0000 0.0000
Co 0.5000 0.5000 0.0000

Computed properties:
Symmetry: P4/mmm (123)
E_form: -0.027 eV per atom
Crystal system: tetragonal
DOS(E_F): 5.24 states/eV per cell

The following is a DFT calculation (PBE-GGA) of a relaxed structure of ZrGaBi3.

abc: 5.6986 5.6986 5.6986
angles: 90.00 90.00 90.00
Sites, in units of the cell vectors:
Bi 0.5000 0.0000 0.0000
Bi 0.0000 0.5000 0.0000
Bi 0.0000 0.0000 0.5000
Ga 0.5000 0.5000 0.5000
Zr 0.0000 0.0000 0.0000

Computed properties:
Symmetry: Pm-3m (221)
E_form: 0.303 eV per atom
Crystal system: cubic
Distance to the lowest polymorph of the same formula: 0.0 kJ per mole of atoms
DOS(E_F): 3.32 states/eV per cell

The following is a DFT calculation (PBE-GGA) of a relaxed structure of Zr4Zn2Rh.

abc: 4.3867 5.7008 5.7008
angles: 102.10 90.00 90.00
Sites, in units of the cell vectors:
Zr 0.5000 0.0000 0.5000
Zr 0.0000 0.7726 0.7726
Zr 0.5000 0.5000 0.0000
Zr 0.0000 0.2274 0.2274
Rh 0.5000 0.5000 0.5000
Zn 0.0000 0.2706 0.7294
Zn 0.0000 0.7294 0.2706

Computed properties:
Symmetry: Cmmm (65)
E_form: -0.222 eV per atom
Crystal system: orthorhombic
DOS(E_F): 6.01 states/eV per cell

The following is a DFT calculation (PBE-GGA) of a relaxed structure of CeErSc2Sb4.

abc: 4.3015 7.4454 7.4168
angles: 109.48 90.00 90.00
Sites, in units of the cell vectors:
Ce 0.5000 0.5000 0.0000
Er 0.0000 0.0000 0.0000
Sc 0.0000 0.5000 0.5000
Sc 0.5000 0.0000 0.5000
Sb 0.0000 0.7600 0.2683
Sb 0.5000 0.2517 0.2649
Sb 0.0000 0.2400 0.7317
Sb 0.5000 0.7483 0.7351

Computed properties:
Energy relative to the elements, uncorrected: -0.99 eV per atom
Symmetry: P2/m (10)
Crystal system: monoclinic
DOS(E_F): 7.61 states/eV per cell

The following is a DFT calculation (PBE-GGA) of a relaxed structure of ZrAg.

abc: 11.4998 4.7682 5.9232
angles: 90.00 90.00 90.00
Sites, in units of the cell vectors:
Zr 0.5492 0.2500 0.1126
Zr 0.6694 0.7500 0.3559
Zr 0.4508 0.7500 0.8874
Zr 0.0492 0.2500 0.3874
Zr 0.8306 0.2500 0.8559
Zr 0.9508 0.7500 0.6126
Zr 0.3306 0.2500 0.6441
Zr 0.1694 0.7500 0.1441
Ag 0.9123 0.7500 0.1219
Ag 0.1977 0.7500 0.6438
Ag 0.5877 0.2500 0.6219
Ag 0.4123 0.7500 0.3781
Ag 0.0877 0.2500 0.8781
Ag 0.3023 0.2500 0.1438
Ag 0.6977 0.7500 0.8562
Ag 0.8023 0.2500 0.3562

Computed properties:
Symmetry: Pnma (62)
E_form: 0.030 eV per atom
Crystal system: orthorhombic
DOS(E_F): 18.91 states/eV per cell

The following is a DFT calculation (PBE-GGA) of a relaxed structure of ScCd8Ag2.

abc: 5.1551 7.7763 7.7337
angles: 59.82 79.32 68.36
Sites, in units of the cell vectors:
Cd 0.7012 0.5963 0.0000
Cd 0.5000 0.2240 0.5521
Cd 0.5000 0.7760 0.4479
Cd 0.2988 0.4037 0.0000
Cd 0.8522 0.0891 0.2294
Cd 0.1478 0.6815 0.2294
Cd 0.8522 0.3185 0.7706
Cd 0.1478 0.9109 0.7706
Ag 0.0000 0.3088 0.3824
Ag 0.0000 0.6912 0.6176
Sc 0.5000 0.0000 0.0000

Computed properties:
Symmetry: C2/m (12)
E_form: 0.021 eV per atom
Crystal system: monoclinic
Distance to the lowest polymorph of the same formula: 4.3 kJ per mole of atoms
DOS(E_F): 5.03 states/eV per cell

The following is a DFT calculation (PBE-GGA) of a relaxed structure of MnRhC2.

abc: 3.6719 3.6719 3.6719
angles: 60.00 60.00 60.00
Sites, in units of the cell vectors:
C 0.2500 0.2500 0.2500
C 0.7500 0.7500 0.7500
Rh 0.5000 0.5000 0.5000
Mn 0.0000 0.0000 0.0000

Computed properties:
Symmetry: Fm-3m (225)
E_form: 1.136 eV per atom
Crystal system: cubic
DOS(E_F): 2.24 states/eV per cell

The following is a DFT calculation (PBE-GGA) of a relaxed structure of HfIn3Cl.

abc: 5.7405 5.7405 5.7405
angles: 90.00 90.00 90.00
Sites, in units of the cell vectors:
Hf 0.0000 0.0000 0.0000
In 0.5000 0.0000 0.0000
In 0.0000 0.0000 0.5000
In 0.0000 0.5000 0.0000
Cl 0.5000 0.5000 0.5000

Computed properties:
Energy relative to the elements, uncorrected: 0.47 eV per atom
Symmetry: Pm-3m (221)
Crystal system: cubic
Distance to the lowest polymorph of the same formula: 0.0 kJ per mole of atoms
DOS(E_F): 3.96 states/eV per cell

The following is a DFT calculation (PBE-GGA) of a relaxed structure of NbNiSnOs.

abc: 4.4977 4.4977 4.4977
angles: 60.00 60.00 60.00
Sites, in units of the cell vectors:
Sn 0.7500 0.7500 0.7500
Os 0.5000 0.5000 0.5000
Nb 0.2500 0.2500 0.2500
Ni 0.0000 0.0000 0.0000

Computed properties:
Symmetry: F-43m (216)
E_form: -0.036 eV per atom
Crystal system: cubic
DOS(E_F): 5.27 states/eV per cell

The following is a DFT calculation (PBE-GGA) of a relaxed structure of LiNd2Hf.

abc: 3.4373 3.4373 9.5443
angles: 90.00 90.00 90.00
Sites, in units of the cell vectors:
Li 0.5000 0.5000 0.0000
Nd 0.0000 0.0000 0.2563
Nd 0.0000 0.0000 0.7437
Hf 0.5000 0.5000 0.5000

Computed properties:
Symmetry: P4/mmm (123)
E_form: 0.133 eV per atom
Crystal system: tetragonal
Distance to the lowest polymorph of the same formula: 0.0 kJ per mole of atoms
DOS(E_F): 4.92 states/eV per cell

The following is a DFT calculation (PBE-GGA) of a relaxed structure of Pm6SbPb2.

abc: 4.4007 8.6488 8.6488
angles: 120.00 90.00 90.00
Sites, in units of the cell vectors:
Pb 0.0000 0.3333 0.6665
Pb 0.0000 0.6667 0.3335
Pm 0.0000 0.7351 0.7352
Pm 0.5000 0.0000 0.5991
Pm 0.5000 0.5991 0.0000
Pm 0.0000 0.2650 0.0000
Pm 0.5000 0.4009 0.4009
Pm 0.0000 0.9999 0.2648
Sb 0.5000 0.0000 0.0000

Computed properties:
Energy relative to the elements, uncorrected: -0.56 eV per atom
Symmetry: P-62m (189)
Crystal system: hexagonal
DOS(E_F): 10.09 states/eV per cell

The following is a DFT calculation (PBE-GGA) of a relaxed structure of SrPbSe2.

abc: 6.8522 6.8522 8.5596
angles: 66.41 66.41 90.00
Sites, in units of the cell vectors:
Pb 0.7500 0.2500 0.5000
Pb 0.0000 0.0000 0.0000
Se 0.8750 0.8792 0.7500
Se 0.1208 0.6250 0.2500
Se 0.6292 0.1250 0.2500
Se 0.3750 0.3708 0.7500
Sr 0.5000 0.5000 0.0000
Sr 0.2500 0.7500 0.5000

Computed properties:
Energy relative to the elements, uncorrected: -1.09 eV per atom
Symmetry: I-42d (122)
Crystal system: tetragonal
DOS(E_F): 0.00 states/eV per cell

The following is a DFT calculation (PBE-GGA) of a relaxed structure of AgPdOF2.

abc: 4.3363 4.3363 3.8386
angles: 90.00 90.00 90.00
Sites, in units of the cell vectors:
F 0.0000 0.5000 0.0000
F 0.5000 0.0000 0.0000
O 0.0000 0.0000 0.5000
Ag 0.5000 0.5000 0.5000
Pd 0.0000 0.0000 0.0000

Computed properties:
Energy relative to the elements, uncorrected: -0.64 eV per atom
Symmetry: P4/mmm (123)
Crystal system: tetragonal
Distance to the lowest polymorph of the same formula: 0.0 kJ per mole of atoms
DOS(E_F): 3.63 states/eV per cell

The following is a DFT calculation (PBE-GGA) of a relaxed structure of BaNaZn.

abc: 5.5425 5.5425 5.5425
angles: 60.00 60.00 60.00
Sites, in units of the cell vectors:
Na 0.0000 0.0000 0.0000
Zn 0.2500 0.2500 0.2500
Ba 0.5000 0.5000 0.5000

Computed properties:
Symmetry: F-43m (216)
E_form: 0.012 eV per atom
Crystal system: cubic
Distance to the lowest polymorph of the same formula: 12.3 kJ per mole of atoms
DOS(E_F): 2.31 states/eV per cell

The following is a DFT calculation (PBE-GGA) of a relaxed structure of Ni2PtRh.

abc: 2.6883 3.7241 5.2822
angles: 90.00 90.00 90.00
Sites, in units of the cell vectors:
Rh 0.5000 0.5000 0.7667
Ni 0.0000 0.0000 0.0022
Ni 0.5000 0.5000 0.2428
Pt 0.0000 0.0000 0.4883

Computed properties:
Symmetry: Pmm2 (25)
E_form: -0.003 eV per atom
Crystal system: orthorhombic
DOS(E_F): 6.88 states/eV per cell

The following is a DFT calculation (PBE-GGA) of a relaxed structure of Fe2TePdCl.

abc: 4.1710 4.8761 4.1710
angles: 90.00 90.00 90.00
Sites, in units of the cell vectors:
Fe 0.0000 0.0000 0.5000
Fe 0.5000 0.0000 0.0000
Te 0.5000 0.5000 0.5000
Cl 0.0000 0.0000 0.0000
Pd 0.0000 0.5000 0.0000

Computed properties:
Energy relative to the elements, uncorrected: 0.85 eV per atom
Symmetry: P4/mmm (123)
Crystal system: tetragonal
DOS(E_F): 7.64 states/eV per cell

The following is a DFT calculation (PBE-GGA) of a relaxed structure of AcThRuAu.

abc: 5.2513 5.2513 5.2513
angles: 60.00 60.00 60.00
Sites, in units of the cell vectors:
Au 0.2500 0.2500 0.2500
Ac 0.5000 0.5000 0.5000
Ru 0.7500 0.7500 0.7500
Th 0.0000 0.0000 0.0000

Computed properties:
Symmetry: F-43m (216)
E_form: -0.326 eV per atom
Crystal system: cubic
DOS(E_F): 4.34 states/eV per cell

The following is a DFT calculation (PBE-GGA) of a relaxed structure of CaNiPb3.

abc: 5.8101 5.8101 5.8101
angles: 90.00 90.00 90.00
Sites, in units of the cell vectors:
Ca 0.0000 0.0000 0.0000
Pb 0.5000 0.0000 0.0000
Pb 0.0000 0.0000 0.5000
Pb 0.0000 0.5000 0.0000
Ni 0.5000 0.5000 0.5000

Computed properties:
Symmetry: Pm-3m (221)
E_form: 1.163 eV per atom
Crystal system: cubic
Distance to the lowest polymorph of the same formula: 116.8 kJ per mole of atoms
DOS(E_F): 4.65 states/eV per cell

The following is a DFT calculation (PBE-GGA) of a relaxed structure of HfIrF3.

abc: 4.2000 4.2000 4.2000
angles: 90.00 90.00 90.00
Sites, in units of the cell vectors:
Hf 0.5000 0.5000 0.5000
F 0.0000 0.5000 0.0000
F 0.5000 0.0000 0.0000
F 0.0000 0.0000 0.5000
Ir 0.0000 0.0000 0.0000

Computed properties:
Energy relative to the elements, uncorrected: -0.12 eV per atom
Symmetry: Pm-3m (221)
Crystal system: cubic
Distance to the lowest polymorph of the same formula: 121.7 kJ per mole of atoms
DOS(E_F): 6.63 states/eV per cell

The following is a DFT calculation (PBE-GGA) of a relaxed structure of K2AsOs.

abc: 6.1088 6.1088 6.1088
angles: 141.70 141.39 55.51
Sites, in units of the cell vectors:
Os 0.7500 0.2500 0.5000
K 0.5008 0.5008 0.0000
K 0.9992 0.9992 0.0000
As 0.2500 0.7500 0.5000

Computed properties:
Symmetry: Immm (71)
E_form: 0.912 eV per atom
Crystal system: orthorhombic
DOS(E_F): 3.23 states/eV per cell

The following is a DFT calculation (PBE-GGA) of a relaxed structure of AlAuBr2.

abc: 8.9948 8.9948 8.9948
angles: 23.54 23.54 23.54
Sites, in units of the cell vectors:
Au 0.7653 0.7653 0.7653
Al 0.4868 0.4868 0.4868
Br 0.0291 0.0291 0.0291
Br 0.2188 0.2188 0.2188

Computed properties:
Energy relative to the elements, uncorrected: -0.53 eV per atom
Symmetry: R3m (160)
Crystal system: trigonal
Distance to the lowest polymorph of the same formula: 5.4 kJ per mole of atoms

The following is a DFT calculation (PBE-GGA) of a relaxed structure of TaRe2Au.

abc: 3.3650 3.3650 5.8477
angles: 90.00 90.00 90.00
Sites, in units of the cell vectors:
Re 0.0000 0.0000 0.0270
Re 0.5000 0.5000 0.2388
Ta 0.0000 0.0000 0.4841
Au 0.5000 0.5000 0.7501

Computed properties:
Symmetry: P4mm (99)
E_form: 0.178 eV per atom
Crystal system: tetragonal
Distance to the lowest polymorph of the same formula: 10.5 kJ per mole of atoms
DOS(E_F): 2.79 states/eV per cell